Record 1
A plane-wave DFT calculation with PBE was carried out for an optimized crystal structure of SmTh4N4.

Results
Crystal system ... monoclinic
Uncorrected formation energy ... -128 kJ/mol of atoms
VASP energy ... -8.852 eV/atom

Cell lengths 6.3269, 6.3269, 8.1575 Å; angles 130.15, 130.15, 48.31 degrees
Sites, in units of the cell vectors:
Sm  0.0000  0.0000  0.0000
Th  0.1920  0.1920  0.7995
Th  0.3926  0.3926  0.5848
Th  0.6074  0.6074  0.4152
Th  0.8080  0.8080  0.2005
N  0.1013  0.1013  0.4073
N  0.3061  0.3061  0.2053
N  0.6939  0.6939  0.7947
N  0.8987  0.8987  0.5927

Record 2
A plane-wave DFT calculation with PBE was carried out for an optimized crystal structure of Sm5ThN4.

Results
Crystal system ... monoclinic
Uncorrected formation energy ... -114 kJ/mol of atoms
VASP energy ... -7.609 eV/atom

Cell lengths 8.0832, 8.0832, 7.3883 Å; angles 102.57, 102.57, 25.72 degrees
Sites, in units of the cell vectors:
Sm  0.0000  0.0000  0.0000
Sm  0.3332  0.3332  0.6509
Sm  0.3387  0.3387  0.1898
Sm  0.6613  0.6613  0.8102
Sm  0.6668  0.6668  0.3491
Th  0.0000  0.0000  0.5000
N  0.1664  0.1664  0.5832
N  0.4980  0.4980  0.2534
N  0.5020  0.5020  0.7466
N  0.8336  0.8336  0.4168

Record 3
A plane-wave DFT calculation with PBE was carried out for an optimized crystal structure of SmTh3N.

Results
Crystal system ... cubic
Uncorrected formation energy ... -58 kJ/mol of atoms
VASP energy ... -7.664 eV/atom

Cell lengths 5.0954, 5.0954, 5.0954 Å; angles 90.00, 90.00, 90.00 degrees
Sites, in units of the cell vectors:
Sm  0.0000  0.0000  0.0000
Th  0.0000  0.5000  0.5000
Th  0.5000  0.0000  0.5000
Th  0.5000  0.5000  0.0000
N  0.5000  0.5000  0.5000

Record 4
A plane-wave DFT calculation with PBE was carried out for an optimized crystal structure of Sm5Th3N8.

Results
Crystal system ... trigonal
Uncorrected formation energy ... -150 kJ/mol of atoms
VASP energy ... -8.588 eV/atom

Cell lengths 7.2292, 7.2292, 7.2292 Å; angles 60.15, 60.15, 60.15 degrees
Sites, in units of the cell vectors:
Sm  0.0000  0.0000  0.0000
Sm  0.0000  0.5000  0.5000
Sm  0.5000  0.0000  0.5000
Sm  0.5000  0.5000  0.0000
Sm  0.5000  0.5000  0.5000
Th  0.0000  0.0000  0.5000
Th  0.0000  0.5000  0.0000
Th  0.5000  0.0000  0.0000
N  0.2433  0.7500  0.7500
N  0.2477  0.2477  0.2477
N  0.2500  0.2500  0.7567
N  0.2500  0.7567  0.2500
N  0.7500  0.2433  0.7500
N  0.7500  0.7500  0.2433
N  0.7523  0.7523  0.7523
N  0.7567  0.2500  0.2500

These records have density of states at the Fermi level values of 5.69; 5.18; 5.20; 2.36 states/eV/cell, in the order they appear.